[1]
## YTaTl (PBE-GGA)

Data for an optimized crystal structure of YTaTl.

Output
- energy relative to the elements (eV/atom) = 0.32
- symmetry = P3m1 (156)
- E_tot (eV per cell) = -19.73
- E above lowest polymorph (eV/f.u.) = 0.20

abc: 3.3166 3.3166 7.6227
angles: 90.00 90.00 120.00
Last column: nearest neighbours and their distance in Å.
Element x y z (fractional)
1 Y 0.0000 0.0000 0.0000  3 Ta 3.11, 6 Y 3.32, 3 Tl 3.34
2 Ta 0.6667 0.3333 0.3215  3 Tl 3.10, 3 Y 3.11, 6 Ta 3.32
3 Tl 0.3333 0.6667 0.6406  3 Ta 3.10, 6 Tl 3.32, 3 Y 3.34

[2]
## TlCuSb2 (PBE-GGA)

Data for an optimized crystal structure of TlCuSb2.

Output
- ΔE_f (raw) (eV per atom) = 0.242
- symmetry = Pmm2 (25)
- E_tot (eV per cell) = -13.74
- E above lowest polymorph (eV/f.u.) = 0.75

abc: 3.2121 3.8765 8.1260
angles: 90.00 90.00 90.00
Last column: nearest neighbours and their distance in Å.
Element x y z (fractional)
1 Tl 0.0000 0.0000 0.0000  2 Tl 3.21, 5 Sb 3.41-3.51, 4 Cu 3.41
2 Cu 0.5000 0.5000 0.2835  4 Sb 2.75
3 Sb 0.0000 0.0000 0.4198  4 Cu 2.75
4 Sb 0.5000 0.5000 0.6989  6 Sb 3.21-3.39, 1 Cu 3.38, 4 Tl 3.51

[3]
## Na2Cd2In5 (PBE-GGA)

Data for an optimized crystal structure of Na2Cd2In5.

Output
- energy relative to the elements (eV/atom) = -0.03
- symmetry = Ima2 (46)
- E_tot (eV per cell) = -36.80
- E above lowest polymorph (eV/f.u.) = 0.28

abc: 9.7304 9.7304 9.7304
angles: 80.79 110.95 143.37
Last column: nearest neighbours and their distance in Å.
Element x y z (fractional)
1 Na 0.0024 0.1267 0.1292  4 In 3.26-3.62, 4 Cd 3.56-3.59
2 Na 0.0024 0.3733 0.3757  4 In 3.26-3.62, 4 Cd 3.56-3.59
3 Na 0.9976 0.6267 0.6243  4 In 3.26-3.62, 4 Cd 3.56-3.59
4 Na 0.9976 0.8733 0.8708  4 In 3.26-3.62, 4 Cd 3.56-3.59
5 Cd 0.4724 0.7477 0.2247  4 In 2.91-2.95
6 Cd 0.4993 0.4993 0.0000  6 In 3.12-3.22
7 Cd 0.4993 0.9993 0.5000  6 In 3.12-3.22
8 Cd 0.5230 0.2477 0.7753  4 In 2.91-2.95
9 In 0.0034 0.5067 0.9968  2 Cd 2.91, 4 In 3.06-3.09
10 In 0.2935 0.1430 0.4431  2 Cd 2.95-3.12, 5 In 3.07-3.23, 1 Na 3.26
11 In 0.2935 0.3504 0.6506  2 Cd 2.95-3.12, 5 In 3.07-3.23, 1 Na 3.26
12 In 0.4991 0.2067 0.2087  5 In 3.06-3.23, 2 Cd 3.21-3.22, 2 Na 3.42
13 In 0.4991 0.7905 0.7924  5 In 3.06-3.23, 2 Cd 3.21-3.22, 2 Na 3.42
14 In 0.5099 0.0067 0.0032  2 Cd 2.91, 4 In 3.06-3.09
15 In 0.6998 0.6430 0.3494  2 Cd 2.95-3.12, 5 In 3.07-3.23, 1 Na 3.26
16 In 0.6998 0.8504 0.5569  2 Cd 2.95-3.12, 5 In 3.07-3.23, 1 Na 3.26
17 In 0.9981 0.2905 0.7913  5 In 3.06-3.23, 2 Cd 3.21-3.22, 2 Na 3.42
18 In 0.9981 0.7067 0.2076  5 In 3.06-3.23, 2 Cd 3.21-3.22, 2 Na 3.42

[4]
## Na3SbTe (PBE-GGA)

Data for an optimized crystal structure of Na3SbTe.

Output
- ΔE_f (raw) (eV per atom) = -0.242
- symmetry = Pm-3m (221)
- E_tot (eV per cell) = -12.43
- E above lowest polymorph (eV/f.u.) = 1.43

abc: 5.8445 5.8445 5.8445
angles: 90.00 90.00 90.00
Last column: nearest neighbours and their distance in Å.
Element x y z (fractional)
1 Na 0.0000 0.0000 0.5000  2 Te 2.92
2 Na 0.0000 0.5000 0.0000  2 Te 2.92
3 Na 0.5000 0.0000 0.0000  2 Te 2.92
4 Sb 0.5000 0.5000 0.5000  12 Na 4.13
5 Te 0.0000 0.0000 0.0000  6 Na 2.92